--- w ---
An optimized crystal structure of UGaSb. Source: the Alexandria database, functional GGA-PBE.

Cell and atoms, written as CIF:
```
data_UGaSb
_chemical_formula_sum 'U1 Ga1 Sb1'
_cell_length_a 3.643
_cell_length_b 3.643
_cell_length_c 5.862
_cell_angle_alpha 108.10
_cell_angle_beta 108.10
_cell_angle_gamma 90.00
_symmetry_space_group_name_H-M 'P 1'
_symmetry_Int_Tables_number 1
_symmetry_space_group_name_Hall 'P 1'
loop_
_atom_site_label
_atom_site_fract_x
_atom_site_fract_y
_atom_site_fract_z
Sb1 0.597 0.597 0.195
U1 0.286 0.286 0.572
Ga1 0.967 0.967 0.933
```

Properties
Space group = I4mm, No. 107
ρ = 10.207 Mg/m³
Calculated volume = 69.88 Å³ per cell
Total magnetization = 3.47 μB per formula unit
Density of states at the Fermi level = 7.6 states/eV/cell

--- x ---
An optimized crystal structure of UGaSb. Source: the Alexandria database, functional GGA-PBE.

Cell and atoms, written as CIF:
```
data_UGaSb
_chemical_formula_sum 'U1 Ga1 Sb1'
_cell_length_a 3.051
_cell_length_b 5.096
_cell_length_c 5.096
_cell_angle_alpha 120.00
_cell_angle_beta 90.00
_cell_angle_gamma 90.00
_symmetry_space_group_name_H-M 'P 1'
_symmetry_Int_Tables_number 1
_symmetry_space_group_name_Hall 'P 1'
loop_
_atom_site_label
_atom_site_fract_x
_atom_site_fract_y
_atom_site_fract_z
Sb1 0.833 0.667 0.333
U1 0.333 0.333 0.667
Ga1 0.834 0.000 0.000
```

Properties
Space group = P-6m2, No. 187
ρ = 10.395 Mg/m³
Calculated volume = 68.61 Å³ per cell
Total magnetization = 2.82 μB per formula unit
Density of states at the Fermi level = 5.1 states/eV/cell

--- y ---
An optimized crystal structure of UGaSb. Source: the Alexandria database, functional GGA-PBE.

Cell and atoms, written as CIF:
```
data_UGaSb
_chemical_formula_sum 'U2 Ga2 Sb2'
_cell_length_a 4.393
_cell_length_b 4.393
_cell_length_c 8.106
_cell_angle_alpha 105.72
_cell_angle_beta 105.72
_cell_angle_gamma 90.00
_symmetry_space_group_name_H-M 'P 1'
_symmetry_Int_Tables_number 1
_symmetry_space_group_name_Hall 'P 1'
loop_
_atom_site_label
_atom_site_fract_x
_atom_site_fract_y
_atom_site_fract_z
U1 0.363 0.363 0.726
U2 0.637 0.637 0.274
Ga1 0.000 0.500 0.000
Ga2 0.500 0.000 0.000
Sb1 0.155 0.155 0.310
Sb2 0.845 0.845 0.690
```

Properties
Space group = I4/mmm, No. 139
ρ = 9.873 Mg/m³
Calculated volume = 144.48 Å³ per cell
Total magnetization = 2.28 μB per formula unit
Density of states at the Fermi level = 14.5 states/eV/cell

In order of decreasing stability: y, x, w.

--- w ---
An optimized crystal structure of UGa2Sb. Source: the Alexandria database, functional GGA-PBE.

Cell and atoms, written as CIF:
```
data_UGa2Sb
_chemical_formula_sum 'U1 Ga2 Sb1'
_cell_length_a 4.400
_cell_length_b 4.378
_cell_length_c 4.378
_cell_angle_alpha 90.00
_cell_angle_beta 90.00
_cell_angle_gamma 90.00
_symmetry_space_group_name_H-M 'P 1'
_symmetry_Int_Tables_number 1
_symmetry_space_group_name_Hall 'P 1'
loop_
_atom_site_label
_atom_site_fract_x
_atom_site_fract_y
_atom_site_fract_z
Sb1 0.500 0.000 0.000
U1 0.500 0.500 0.500
Ga1 0.000 0.000 0.500
Ga2 0.000 0.500 0.000
```

Properties
Space group = P4/mmm, No. 123
ρ = 9.832 Mg/m³
Calculated volume = 84.32 Å³ per cell
Total magnetization = 1.92 μB per formula unit
Density of states at the Fermi level = 6.4 states/eV/cell

--- x ---
An optimized crystal structure of UGa2Sb. Source: the Alexandria database, functional GGA-PBE.

Cell and atoms, written as CIF:
```
data_UGa2Sb
_chemical_formula_sum 'U1 Ga2 Sb1'
_cell_length_a 4.791
_cell_length_b 4.791
_cell_length_c 5.347
_cell_angle_alpha 63.38
_cell_angle_beta 63.38
_cell_angle_gamma 60.00
_symmetry_space_group_name_H-M 'P 1'
_symmetry_Int_Tables_number 1
_symmetry_space_group_name_Hall 'P 1'
loop_
_atom_site_label
_atom_site_fract_x
_atom_site_fract_y
_atom_site_fract_z
Sb1 0.000 0.000 0.000
U1 0.500 0.500 0.500
Ga1 0.265 0.265 0.205
Ga2 0.735 0.735 0.795
```

Properties
Space group = R-3m, No. 166
ρ = 9.113 Mg/m³
Calculated volume = 90.97 Å³ per cell
Total magnetization = 3.03 μB per formula unit
Density of states at the Fermi level = 7.3 states/eV/cell

In order of decreasing stability: w, x.

--- w ---
An optimized crystal structure of V3GaSb. Source: the Alexandria database, functional GGA-PBE.

Cell and atoms, written as CIF:
```
data_V3GaSb
_chemical_formula_sum 'V6 Ga2 Sb2'
_cell_length_a 5.025
_cell_length_b 5.029
_cell_length_c 7.047
_cell_angle_alpha 110.91
_cell_angle_beta 78.58
_cell_angle_gamma 90.00
_symmetry_space_group_name_H-M 'P 1'
_symmetry_Int_Tables_number 1
_symmetry_space_group_name_Hall 'P 1'
loop_
_atom_site_label
_atom_site_fract_x
_atom_site_fract_y
_atom_site_fract_z
V1 0.659 0.911 0.311
V2 0.659 0.400 0.311
V3 0.341 0.600 0.689
V4 0.341 0.089 0.689
V5 0.000 0.000 0.000
V6 0.500 0.000 0.000
Ga1 0.768 0.464 0.927
Ga2 0.232 0.536 0.073
Sb1 0.855 0.809 0.619
Sb2 0.145 0.191 0.381
```

Properties
Space group = C2/m, No. 12
ρ = 7.033 Mg/m³
Calculated volume = 162.58 Å³ per cell
Total magnetization = 0.00 μB per formula unit
Density of states at the Fermi level = 8.5 states/eV/cell

--- x ---
An optimized crystal structure of V3GaSb. Source: the Alexandria database, functional GGA-PBE.

Cell and atoms, written as CIF:
```
data_V3GaSb
_chemical_formula_sum 'V3 Ga1 Sb1'
_cell_length_a 4.630
_cell_length_b 4.630
_cell_length_c 4.630
_cell_angle_alpha 90.00
_cell_angle_beta 90.00
_cell_angle_gamma 90.00
_symmetry_space_group_name_H-M 'P 1'
_symmetry_Int_Tables_number 1
_symmetry_space_group_name_Hall 'P 1'
loop_
_atom_site_label
_atom_site_fract_x
_atom_site_fract_y
_atom_site_fract_z
Sb1 0.500 0.500 0.500
Ga1 0.000 0.000 0.000
V1 0.000 0.500 0.000
V2 0.000 0.000 0.500
V3 0.500 0.000 0.000
```

Properties
Space group = Pm-3m, No. 221
ρ = 5.760 Mg/m³
Calculated volume = 99.26 Å³ per cell
Total magnetization = 6.20 μB per formula unit
Density of states at the Fermi level = 9.9 states/eV/cell

--- y ---
An optimized crystal structure of V3GaSb. Source: the Alexandria database, functional GGA-PBE.

Cell and atoms, written as CIF:
```
data_V3GaSb
_chemical_formula_sum 'V3 Ga1 Sb1'
_cell_length_a 4.920
_cell_length_b 4.920
_cell_length_c 4.920
_cell_angle_alpha 90.00
_cell_angle_beta 90.00
_cell_angle_gamma 90.00
_symmetry_space_group_name_H-M 'P 1'
_symmetry_Int_Tables_number 1
_symmetry_space_group_name_Hall 'P 1'
loop_
_atom_site_label
_atom_site_fract_x
_atom_site_fract_y
_atom_site_fract_z
Sb1 0.000 0.000 0.000
Ga1 0.500 0.500 0.500
V1 0.000 0.500 0.000
V2 0.000 0.000 0.500
V3 0.500 0.000 0.000
```

Properties
Space group = Pm-3m, No. 221
ρ = 4.801 Mg/m³
Calculated volume = 119.10 Å³ per cell
Total magnetization = 6.52 μB per formula unit
Density of states at the Fermi level = 8.3 states/eV/cell

In order of decreasing stability: w, x, y.

--- w ---
An optimized crystal structure of V2Ga2Sb. Source: the Alexandria database, functional GGA-PBE.

Cell and atoms, written as CIF:
```
data_V2Ga2Sb
_chemical_formula_sum 'V4 Ga4 Sb2'
_cell_length_a 6.764
_cell_length_b 6.764
_cell_length_c 3.711
_cell_angle_alpha 90.00
_cell_angle_beta 90.00
_cell_angle_gamma 90.00
_symmetry_space_group_name_H-M 'P 1'
_symmetry_Int_Tables_number 1
_symmetry_space_group_name_Hall 'P 1'
loop_
_atom_site_label
_atom_site_fract_x
_atom_site_fract_y
_atom_site_fract_z
Sb1 0.000 0.000 0.000
Sb2 0.500 0.500 0.000
Ga1 0.163 0.663 0.500
Ga2 0.663 0.837 0.500
Ga3 0.837 0.337 0.500
Ga4 0.337 0.163 0.500
V1 0.371 0.871 0.000
V2 0.871 0.629 0.000
V3 0.629 0.129 0.000
V4 0.129 0.371 0.000
```

Properties
Space group = P4/mbm, No. 127
ρ = 7.102 Mg/m³
Calculated volume = 169.79 Å³ per cell
Total magnetization = 0.00 μB per formula unit
Density of states at the Fermi level = 6.3 states/eV/cell

--- x ---
An optimized crystal structure of V2Ga2Sb. Source: the Alexandria database, functional GGA-PBE.

Cell and atoms, written as CIF:
```
data_V2Ga2Sb
_chemical_formula_sum 'V4 Ga4 Sb2'
_cell_length_a 7.527
_cell_length_b 7.527
_cell_length_c 3.118
_cell_angle_alpha 90.00
_cell_angle_beta 90.00
_cell_angle_gamma 90.00
_symmetry_space_group_name_H-M 'P 1'
_symmetry_Int_Tables_number 1
_symmetry_space_group_name_Hall 'P 1'
loop_
_atom_site_label
_atom_site_fract_x
_atom_site_fract_y
_atom_site_fract_z
Sb1 0.000 0.000 0.000
Sb2 0.500 0.500 0.000
Ga1 0.380 0.880 0.000
Ga2 0.880 0.620 0.000
Ga3 0.620 0.120 0.000
Ga4 0.120 0.380 0.000
V1 0.177 0.677 0.500
V2 0.677 0.823 0.500
V3 0.823 0.323 0.500
V4 0.323 0.177 0.500
```

Properties
Space group = P4/mbm, No. 127
ρ = 6.827 Mg/m³
Calculated volume = 176.64 Å³ per cell
Total magnetization = 4.79 μB per formula unit
Density of states at the Fermi level = 9.2 states/eV/cell

In order of decreasing stability: w, x.

--- w ---
An optimized crystal structure of V2GaSb. Source: the Alexandria database, functional GGA-PBE.

Cell and atoms, written as CIF:
```
data_V2GaSb
_chemical_formula_sum 'V2 Ga1 Sb1'
_cell_length_a 3.614
_cell_length_b 3.614
_cell_length_c 6.615
_cell_angle_alpha 74.15
_cell_angle_beta 74.15
_cell_angle_gamma 60.00
_symmetry_space_group_name_H-M 'P 1'
_symmetry_Int_Tables_number 1
_symmetry_space_group_name_Hall 'P 1'
loop_
_atom_site_label
_atom_site_fract_x
_atom_site_fract_y
_atom_site_fract_z
Sb1 0.500 0.500 0.500
Ga1 0.000 0.000 0.000
V1 0.262 0.262 0.215
V2 0.738 0.738 0.785
```

Properties
Space group = R-3m, No. 166
ρ = 6.860 Mg/m³
Calculated volume = 71.01 Å³ per cell
Total magnetization = 0.00 μB per formula unit
Density of states at the Fermi level = 3.9 states/eV/cell

--- x ---
An optimized crystal structure of V2GaSb. Source: the Alexandria database, functional GGA-PBE.

Cell and atoms, written as CIF:
```
data_V2GaSb
_chemical_formula_sum 'V2 Ga1 Sb1'
_cell_length_a 4.491
_cell_length_b 4.491
_cell_length_c 4.491
_cell_angle_alpha 60.00
_cell_angle_beta 60.00
_cell_angle_gamma 60.00
_symmetry_space_group_name_H-M 'P 1'
_symmetry_Int_Tables_number 1
_symmetry_space_group_name_Hall 'P 1'
loop_
_atom_site_label
_atom_site_fract_x
_atom_site_fract_y
_atom_site_fract_z
Sb1 0.500 0.500 0.500
Ga1 0.000 0.000 0.000
V1 0.250 0.250 0.250
V2 0.750 0.750 0.750
```

Properties
Space group = Fm-3m, No. 225
ρ = 7.606 Mg/m³
Calculated volume = 64.05 Å³ per cell
Total magnetization = 0.00 μB per formula unit
Density of states at the Fermi level = 6.4 states/eV/cell

--- y ---
An optimized crystal structure of V2GaSb. Source: the Alexandria database, functional GGA-PBE.

Cell and atoms, written as CIF:
```
data_V2GaSb
_chemical_formula_sum 'V4 Ga2 Sb2'
_cell_length_a 3.901
_cell_length_b 3.901
_cell_length_c 9.792
_cell_angle_alpha 78.51
_cell_angle_beta 78.51
_cell_angle_gamma 90.00
_symmetry_space_group_name_H-M 'P 1'
_symmetry_Int_Tables_number 1
_symmetry_space_group_name_Hall 'P 1'
loop_
_atom_site_label
_atom_site_fract_x
_atom_site_fract_y
_atom_site_fract_z
Sb1 0.000 0.000 0.000
Sb2 0.750 0.250 0.500
Ga1 0.500 0.500 0.000
Ga2 0.250 0.750 0.500
V1 0.587 0.125 0.250
V2 0.163 0.625 0.250
V3 0.375 0.413 0.750
V4 0.875 0.837 0.750
```

Properties
Space group = I-42d, No. 122
ρ = 6.814 Mg/m³
Calculated volume = 142.99 Å³ per cell
Total magnetization = 0.00 μB per formula unit
Density of states at the Fermi level = 10.9 states/eV/cell

In order of decreasing stability: x, w, y.

--- w ---
An optimized crystal structure of GaSbW2. Source: the Alexandria database, functional GGA-PBE.

Cell and atoms, written as CIF:
```
data_GaSbW2
_chemical_formula_sum 'Ga2 Sb2 W4'
_cell_length_a 4.039
_cell_length_b 4.039
_cell_length_c 9.926
_cell_angle_alpha 78.26
_cell_angle_beta 78.26
_cell_angle_gamma 90.00
_symmetry_space_group_name_H-M 'P 1'
_symmetry_Int_Tables_number 1
_symmetry_space_group_name_Hall 'P 1'
loop_
_atom_site_label
_atom_site_fract_x
_atom_site_fract_y
_atom_site_fract_z
Sb1 0.000 0.000 0.000
Sb2 0.750 0.250 0.500
Ga1 0.500 0.500 0.000
Ga2 0.250 0.750 0.500
W1 0.573 0.125 0.250
W2 0.177 0.625 0.250
W3 0.375 0.427 0.750
W4 0.875 0.823 0.750
```

Properties
Space group = I-42d, No. 122
ρ = 11.974 Mg/m³
Calculated volume = 155.09 Å³ per cell
Total magnetization = 0.00 μB per formula unit
Density of states at the Fermi level = 4.5 states/eV/cell

--- x ---
An optimized crystal structure of GaSbW2. Source: the Alexandria database, functional GGA-PBE.

Cell and atoms, written as CIF:
```
data_GaSbW2
_chemical_formula_sum 'Ga1 Sb1 W2'
_cell_length_a 4.579
_cell_length_b 4.579
_cell_length_c 4.579
_cell_angle_alpha 60.00
_cell_angle_beta 60.00
_cell_angle_gamma 60.00
_symmetry_space_group_name_H-M 'P 1'
_symmetry_Int_Tables_number 1
_symmetry_space_group_name_Hall 'P 1'
loop_
_atom_site_label
_atom_site_fract_x
_atom_site_fract_y
_atom_site_fract_z
Sb1 0.500 0.500 0.500
Ga1 0.000 0.000 0.000
W1 0.250 0.250 0.250
W2 0.750 0.750 0.750
```

Properties
Space group = Fm-3m, No. 225
ρ = 13.677 Mg/m³
Calculated volume = 67.89 Å³ per cell
Total magnetization = 0.00 μB per formula unit
Density of states at the Fermi level = 6.1 states/eV/cell

In order of decreasing stability: x, w.